A plane-wave DFT calculation with PBE with a Hubbard U was carried out for PuTiFeO6 after structural relaxation. Values from VASP.

```
&SYSTEM
  ibrav = 0, nat = 18, ntyp = 4
/
ATOMIC_SPECIES
Pu 244.00 Pu.upf
Ti 47.87 Ti.upf
Fe 55.84 Fe.upf
O 16.00 O.upf
CELL_PARAMETERS angstrom
5.2959 0.0000 0.0000
-2.6479 4.5864 0.0000
0.0000 0.0000 8.7829
ATOMIC_POSITIONS angstrom
Pu 0.0000 3.0576 2.1957
Pu 2.6479 1.5288 6.5872
Ti 0.0000 3.0576 6.5872
Ti 2.6479 1.5288 2.1957
Fe 0.0000 0.0000 0.0000
Fe 0.0000 0.0000 4.3914
O -0.7952 1.5753 5.5232
O -1.6813 3.1101 7.6511
O 0.7952 1.5753 7.6511
O -0.8861 4.4873 5.5232
O 1.7619 0.0990 1.1318
O 0.9667 1.4763 3.2597
O 1.6813 3.1101 5.5232
O 0.8861 4.4873 7.6511
O 3.5340 0.0990 3.2597
O 1.8528 3.0110 1.1318
O 4.3292 1.4763 1.1318
O 3.4431 3.0110 3.2597
```

## Properties
DOS(E_F) (states/eV per atom): 0.8910
DFT total energy (eV per atom): -8.735
Symmetry: P-31c, No. 163
Total magnetic moment (Bohr magnetons per cell): 16.00